MgGaH5: optimized geometry, GGA-PBEsol.

Calculated values
The value obtained for the density of states at the Fermi level is 0.00 states/eV/f.u. The calculation puts the spin magnetization at 0.000 μB per atom. The calculation puts the electronic total energy at -85.8 eV/cell.

Unit cell a=6.493 b=6.913 c=9.618 alpha=90.00 beta=132.34 gamma=90.00
Space group P2_1/c (No. 14)
Inequivalent atoms, fractional coordinates:
1 Mg 0.003 0.121 0.255 (multiplicity 4)
2 Ga 0.403 0.125 0.150 (multiplicity 4)
3 H 0.073 0.631 0.831 (multiplicity 4)
4 H 0.268 0.632 0.209 (multiplicity 4)
5 H 0.276 0.181 0.531 (multiplicity 4)
6 H 0.292 0.565 0.523 (multiplicity 4)
7 H 0.334 0.108 0.280 (multiplicity 4)